The following is a DFT calculation (PBE+U) of a relaxed structure of CaCoF3.

Calculated values
Crystal system: cubic
Relative energy among the computed polymorphs: 0.117 eV/atom

Lattice parameters (Å, degrees): 4.4166 4.4166 4.4166 90.00 90.00 90.00
Space group Pm-3m (No. 221)
Unique sites:
Ca  0.0000  0.0000  0.0000 (multiplicity 1)
Co  0.5000  0.5000  0.5000 (multiplicity 1)
F  0.0000  0.0000  0.5000 (multiplicity 3)